(1)
Computed, not measured: a relaxed structure of PmHfIr2 at the PBE level of DFT.

V	20.7	Å³ per atom
relative energy among the computed polymorphs	2.700	kcal/mol of atoms

CIF file:
```
data_PmHfIr2
_cell_length_a 4.5155
_cell_length_b 4.5155
_cell_length_c 14.0906
_cell_angle_alpha 90.00
_cell_angle_beta 90.00
_cell_angle_gamma 120.00
_symmetry_space_group_name_H-M 'R -3 m'
_symmetry_Int_Tables_number 166
_symmetry_space_group_name_Hall '-R 3 2"'
loop_
_atom_site_label
_atom_site_type_symbol
_atom_site_fract_x
_atom_site_fract_y
_atom_site_fract_z
Pm1 Pm 0.0000 0.0000 0.0000
Hf1 Hf 0.0000 0.0000 0.5000
Ir1 Ir 0.0000 0.0000 0.2241
```

(2)
Computed, not measured: a relaxed structure of U2MnGa at the PBE level of DFT.

V	18.7	Å³ per atom
relative energy among the computed polymorphs	8.844	kcal/mol of atoms

CIF file:
```
data_U2MnGa
_cell_length_a 2.8979
_cell_length_b 2.8979
_cell_length_c 30.8892
_cell_angle_alpha 90.00
_cell_angle_beta 90.00
_cell_angle_gamma 120.00
_symmetry_space_group_name_H-M 'R -3 m'
_symmetry_Int_Tables_number 166
_symmetry_space_group_name_Hall '-R 3 2"'
loop_
_atom_site_label
_atom_site_type_symbol
_atom_site_fract_x
_atom_site_fract_y
_atom_site_fract_z
U1 U 0.0000 0.0000 0.0969
Mn1 Mn 0.0000 0.0000 0.5000
Ga1 Ga 0.0000 0.0000 0.0000
```

(3)
Computed, not measured: a relaxed structure of FeCu3 at the PBE level of DFT.

V	12.0	Å³ per atom

CIF file:
```
data_FeCu3
_cell_length_a 5.1631
_cell_length_b 5.1631
_cell_length_c 4.1604
_cell_angle_alpha 90.00
_cell_angle_beta 90.00
_cell_angle_gamma 120.00
_symmetry_space_group_name_H-M 'P 63/m m c'
_symmetry_Int_Tables_number 194
_symmetry_space_group_name_Hall '-P 6c 2c'
loop_
_atom_site_label
_atom_site_type_symbol
_atom_site_fract_x
_atom_site_fract_y
_atom_site_fract_z
Fe1 Fe 0.3333 0.6667 0.2500
Cu1 Cu 0.1669 0.3337 0.7500
```

Table of formation energy (eV/atom), in record order: -0.66; 0.36; 0.18
Table of total DFT energy (no corrections) (eV per formula unit), in record order: -35.1; -33.3; -20.0